The following is a DFT calculation (PBE) of Ba2AsRu after structural relaxation.

CIF file:
```
data_Ba2AsRu
_cell_length_a 5.295
_cell_length_b 5.295
_cell_length_c 7.596
_cell_angle_alpha 90.00
_cell_angle_beta 90.00
_cell_angle_gamma 90.00
_symmetry_space_group_name_H-M 'I -4 m 2'
_symmetry_Int_Tables_number 119
_symmetry_space_group_name_Hall 'I -4 -2'
loop_
_atom_site_label
_atom_site_fract_x
_atom_site_fract_y
_atom_site_fract_z
_atom_site_occupancy
Ba1 0.000 0.000 0.000 1
Ba2 0.000 0.500 0.250 1
As1 0.000 0.000 0.500 1
Ru1 0.000 0.500 0.750 1
```

Summary:
**Magnetization**: 0.854 μB/f.u.
**E_tot**: -33.7 eV for the cell shown
**Energy relative to the elements**: 0.23 eV/atom